[1]
VASP calculation (GGA-PBE) on a relaxed structure of BaIr2Pt.

```
data_BaIr2Pt
_chemical_formula_sum 'Ba4 Ir8 Pt4'
_symmetry_space_group_name_H-M 'F m -3 m'
_symmetry_Int_Tables_number 225
_symmetry_space_group_name_Hall '-F 4 2 3'
_cell_length_a 6.8189
_cell_length_b 6.8189
_cell_length_c 6.8189
_cell_angle_alpha 90.00
_cell_angle_beta 90.00
_cell_angle_gamma 90.00
loop_
_atom_site_label
_atom_site_fract_x
_atom_site_fract_y
_atom_site_fract_z
Ba1 0.0000 0.0000 0.0000
Ir1 0.2500 0.2500 0.2500
Pt1 0.0000 0.0000 0.5000
```

Output
Offset from the most stable computed form ... 102.3 kJ/mol of atoms
DFT formation energy ... 0.852 eV/atom
E ... -5.57 eV/atom


[2]
VASP calculation (GGA-PBE) on a relaxed structure of BaIrPt2.

```
data_BaIrPt2
_chemical_formula_sum 'Ba2 Ir2 Pt4'
_symmetry_space_group_name_H-M 'I -4 m 2'
_symmetry_Int_Tables_number 119
_symmetry_space_group_name_Hall 'I -4 -2'
_cell_length_a 4.3418
_cell_length_b 4.3418
_cell_length_c 8.5672
_cell_angle_alpha 90.00
_cell_angle_beta 90.00
_cell_angle_gamma 90.00
loop_
_atom_site_label
_atom_site_fract_x
_atom_site_fract_y
_atom_site_fract_z
Ba1 0.0000 0.0000 0.0000
Ir1 0.0000 0.5000 0.7500
Pt1 0.0000 0.0000 0.5000
Pt2 0.0000 0.5000 0.2500
```

Output
Offset from the most stable computed form ... 78.6 kJ/mol of atoms
DFT formation energy ... 0.418 eV/atom
E ... -5.30 eV/atom


[3]
VASP calculation (GGA-PBE) on a relaxed structure of BaIr2Pt.

```
data_BaIr2Pt
_chemical_formula_sum 'Ba4 Ir8 Pt4'
_symmetry_space_group_name_H-M 'F -4 3 m'
_symmetry_Int_Tables_number 216
_symmetry_space_group_name_Hall 'F -4 2 3'
_cell_length_a 6.8478
_cell_length_b 6.8478
_cell_length_c 6.8478
_cell_angle_alpha 90.00
_cell_angle_beta 90.00
_cell_angle_gamma 90.00
loop_
_atom_site_label
_atom_site_fract_x
_atom_site_fract_y
_atom_site_fract_z
Ba1 0.0000 0.0000 0.0000
Ir1 0.0000 0.0000 0.5000
Ir2 0.2500 0.2500 0.2500
Pt1 0.2500 0.2500 0.7500
```

Output
Offset from the most stable computed form ... 92.9 kJ/mol of atoms
DFT formation energy ... 0.755 eV/atom
E ... -5.67 eV/atom


[4]
VASP calculation (GGA-PBE) on a relaxed structure of BaIrPt.

```
data_BaIrPt
_chemical_formula_sum 'Ba1 Ir1 Pt1'
_symmetry_space_group_name_H-M 'P -6 m 2'
_symmetry_Int_Tables_number 187
_symmetry_space_group_name_Hall 'P -6 2'
_cell_length_a 4.3726
_cell_length_b 4.3726
_cell_length_c 4.8185
_cell_angle_alpha 90.00
_cell_angle_beta 90.00
_cell_angle_gamma 120.00
loop_
_atom_site_label
_atom_site_fract_x
_atom_site_fract_y
_atom_site_fract_z
Ba1 0.0000 0.0000 0.0000
Ir1 0.6667 0.3333 0.5000
Pt1 0.3333 0.6667 0.5000
```

Output
Offset from the most stable computed form ... 2.1 kJ/mol of atoms
DFT formation energy ... -0.282 eV/atom
E ... -5.89 eV/atom


[5]
VASP calculation (GGA-PBE) on a relaxed structure of BaIrPt2.

```
data_BaIrPt2
_chemical_formula_sum 'Ba4 Ir4 Pt8'
_symmetry_space_group_name_H-M 'F m -3 m'
_symmetry_Int_Tables_number 225
_symmetry_space_group_name_Hall '-F 4 2 3'
_cell_length_a 6.9088
_cell_length_b 6.9088
_cell_length_c 6.9088
_cell_angle_alpha 90.00
_cell_angle_beta 90.00
_cell_angle_gamma 90.00
loop_
_atom_site_label
_atom_site_fract_x
_atom_site_fract_y
_atom_site_fract_z
Ba1 0.0000 0.0000 0.0000
Ir1 0.0000 0.0000 0.5000
Pt1 0.2500 0.2500 0.2500
```

Output
Offset from the most stable computed form ... 80.7 kJ/mol of atoms
DFT formation energy ... 0.439 eV/atom
E ... -5.28 eV/atom


[6]
VASP calculation (GGA-PBE) on a relaxed structure of BaIr2Pt.

```
data_BaIr2Pt
_chemical_formula_sum 'Ba2 Ir4 Pt2'
_symmetry_space_group_name_H-M 'C 1 2/m 1'
_symmetry_Int_Tables_number 12
_symmetry_space_group_name_Hall '-C 2y'
_cell_length_a 11.8001
_cell_length_b 2.9310
_cell_length_c 6.0188
_cell_angle_alpha 90.00
_cell_angle_beta 118.45
_cell_angle_gamma 90.00
loop_
_atom_site_label
_atom_site_fract_x
_atom_site_fract_y
_atom_site_fract_z
Ba1 0.0000 0.0000 0.0000
Ir1 0.2079 0.0000 0.6176
Pt1 0.0000 0.5000 0.5000
```

Output
Offset from the most stable computed form ... 48.6 kJ/mol of atoms
DFT formation energy ... 0.296 eV/atom
E ... -6.13 eV/atom


[7]
VASP calculation (GGA-PBE) on a relaxed structure of Ba2Sb4IrPt3.

```
data_Ba2Sb4IrPt3
_chemical_formula_sum 'Ba2 Sb4 Ir1 Pt3'
_symmetry_space_group_name_H-M 'P -4 m 2'
_symmetry_Int_Tables_number 115
_symmetry_space_group_name_Hall 'P -4 -2'
_cell_length_a 4.8242
_cell_length_b 4.8242
_cell_length_c 10.5914
_cell_angle_alpha 90.00
_cell_angle_beta 90.00
_cell_angle_gamma 90.00
loop_
_atom_site_label
_atom_site_fract_x
_atom_site_fract_y
_atom_site_fract_z
Ba1 0.0000 0.5000 0.2473
Sb1 0.0000 0.0000 0.5000
Sb2 0.0000 0.5000 0.8809
Sb3 0.5000 0.5000 0.5000
Ir1 0.5000 0.5000 0.0000
Pt1 0.0000 0.0000 0.0000
Pt2 0.0000 0.5000 0.6213
```

Output
E ... -5.44 eV/atom
E_form (uncorrected) ... -0.71 eV/atom


[8]
VASP calculation (GGA-PBE) on a relaxed structure of Ba2Sb4Ir3Pt.

```
data_Ba2Sb4Ir3Pt
_chemical_formula_sum 'Ba2 Sb4 Ir3 Pt1'
_symmetry_space_group_name_H-M 'P -4 m 2'
_symmetry_Int_Tables_number 115
_symmetry_space_group_name_Hall 'P -4 -2'
_cell_length_a 4.7568
_cell_length_b 4.7568
_cell_length_c 10.5619
_cell_angle_alpha 90.00
_cell_angle_beta 90.00
_cell_angle_gamma 90.00
loop_
_atom_site_label
_atom_site_fract_x
_atom_site_fract_y
_atom_site_fract_z
Ba1 0.0000 0.5000 0.2504
Sb1 0.0000 0.0000 0.0000
Sb2 0.0000 0.5000 0.6264
Sb3 0.5000 0.5000 0.0000
Ir1 0.0000 0.5000 0.8813
Ir2 0.5000 0.5000 0.5000
Pt1 0.0000 0.0000 0.5000
```

Output
E ... -5.86 eV/atom
E_form (uncorrected) ... -0.56 eV/atom


[9]
VASP calculation (GGA-PBE) on a relaxed structure of Ba2Si3IrPt12.

```
data_Ba2Si3IrPt12
_chemical_formula_sum 'Ba6 Si9 Ir3 Pt36'
_symmetry_space_group_name_H-M 'R -3 m'
_symmetry_Int_Tables_number 166
_symmetry_space_group_name_Hall '-R 3 2"'
_cell_length_a 8.0398
_cell_length_b 8.0398
_cell_length_c 20.7189
_cell_angle_alpha 90.00
_cell_angle_beta 90.00
_cell_angle_gamma 120.00
loop_
_atom_site_label
_atom_site_fract_x
_atom_site_fract_y
_atom_site_fract_z
Ba1 0.0000 0.0000 0.1249
Si1 0.0000 0.5000 0.0000
Ir1 0.0000 0.0000 0.5000
Pt1 0.0101 0.5051 0.1124
Pt2 0.0233 0.5116 0.3672
```

Output
E ... -5.90 eV/atom
E_form (uncorrected) ... -0.26 eV/atom


[10]
VASP calculation (GGA-PBE) on a relaxed structure of Ba2Sr6IrPt.

```
data_Ba2Sr6IrPt
_chemical_formula_sum 'Ba4 Sr12 Ir2 Pt2'
_symmetry_space_group_name_H-M 'C 1 2/m 1'
_symmetry_Int_Tables_number 12
_symmetry_space_group_name_Hall '-C 2y'
_cell_length_a 12.1171
_cell_length_b 12.1263
_cell_length_c 8.5674
_cell_angle_alpha 90.00
_cell_angle_beta 134.94
_cell_angle_gamma 90.00
loop_
_atom_site_label
_atom_site_fract_x
_atom_site_fract_y
_atom_site_fract_z
Ba1 0.0000 0.2501 0.0000
Sr1 0.0000 0.2472 0.5000
Sr2 0.2471 0.0000 0.4997
Sr3 0.2470 0.0000 0.9943
Ir1 0.0000 0.0000 0.5000
Pt1 0.0000 0.5000 0.5000
```

Output
DFT formation energy ... -0.267 eV/atom
E ... -3.15 eV/atom


[11]
VASP calculation (GGA-PBE) on a relaxed structure of Ba2SrIrPt.

```
data_Ba2SrIrPt
_chemical_formula_sum 'Ba2 Sr1 Ir1 Pt1'
_symmetry_space_group_name_H-M 'P 4/m m m'
_symmetry_Int_Tables_number 123
_symmetry_space_group_name_Hall '-P 4 2'
_cell_length_a 6.4566
_cell_length_b 6.4566
_cell_length_c 4.8597
_cell_angle_alpha 90.00
_cell_angle_beta 90.00
_cell_angle_gamma 90.00
loop_
_atom_site_label
_atom_site_fract_x
_atom_site_fract_y
_atom_site_fract_z
Ba1 0.0000 0.5000 0.0000
Sr1 0.0000 0.0000 0.0000
Ir1 0.0000 0.0000 0.5000
Pt1 0.5000 0.5000 0.5000
```

Output
DFT formation energy ... 1.020 eV/atom
E ... -3.07 eV/atom


[12]
VASP calculation (GGA-PBE) on a relaxed structure of BaTlIr2Pt.

```
data_BaTlIr2Pt
_chemical_formula_sum 'Ba1 Tl1 Ir2 Pt1'
_symmetry_space_group_name_H-M 'P 4/m m m'
_symmetry_Int_Tables_number 123
_symmetry_space_group_name_Hall '-P 4 2'
_cell_length_a 5.1127
_cell_length_b 5.1127
_cell_length_c 5.9768
_cell_angle_alpha 90.00
_cell_angle_beta 90.00
_cell_angle_gamma 90.00
loop_
_atom_site_label
_atom_site_fract_x
_atom_site_fract_y
_atom_site_fract_z
Ba1 0.0000 0.0000 0.0000
Tl1 0.0000 0.0000 0.5000
Ir1 0.0000 0.5000 0.0000
Pt1 0.5000 0.5000 0.5000
```

Output
DFT formation energy ... 2.395 eV/atom
E ... -3.22 eV/atom